(1)
# PBE Na3Sr12H5, optimized geometry
data_Na3Sr12H5
_chemical_formula_sum 'Na24 Sr96 H40'
_symmetry_space_group_name_H-M 'I a -3 d'
_symmetry_Int_Tables_number 230
_symmetry_space_group_name_Hall '-I 4bd 2c 3'
_cell_length_a 17.997
_cell_length_b 17.997
_cell_length_c 17.997
_cell_angle_alpha 90.00
_cell_angle_beta 90.00
_cell_angle_gamma 90.00
loop_
_atom_site_label
_atom_site_type_symbol
_atom_site_fract_x
_atom_site_fract_y
_atom_site_fract_z
_atom_site_occupancy
Na1 Na 0.000 0.250 0.125 1
Sr1 Sr 0.043 0.048 0.651 1
H1 H 0.000 0.000 0.000 1
H2 H 0.000 0.250 0.375 1
# **Volume**: 5829.1 Å³/cell
# **Energy**: -2.146 eV per atom

(2)
# PBE NaSr2H, optimized geometry
data_NaSr2H
_chemical_formula_sum 'Na3 Sr6 H3'
_symmetry_space_group_name_H-M 'R -3 m'
_symmetry_Int_Tables_number 166
_symmetry_space_group_name_Hall '-R 3 2"'
_cell_length_a 4.0831
_cell_length_b 4.0831
_cell_length_c 28.7753
_cell_angle_alpha 90.00
_cell_angle_beta 90.00
_cell_angle_gamma 120.00
loop_
_atom_site_label
_atom_site_type_symbol
_atom_site_fract_x
_atom_site_fract_y
_atom_site_fract_z
_atom_site_occupancy
Na1 Na 0.0000 0.0000 0.0000 1
Sr1 Sr 0.0000 0.0000 0.2213 1
H1 H 0.0000 0.0000 0.5000 1
# **Offset from the most stable computed form**: 86.6 meV per atom
# **Volume**: 415.5 Å³/cell

(3)
# PBE Na2SrH4, optimized geometry
data_Na2SrH4
_chemical_formula_sum 'Na8 Sr4 H16'
_symmetry_space_group_name_H-M 'I 41/a m d'
_symmetry_Int_Tables_number 141
_cell_length_a 7.542
_cell_length_b 7.542
_cell_length_c 7.372
_cell_angle_alpha 90.00
_cell_angle_beta 90.00
_cell_angle_gamma 90.00
loop_
_symmetry_equiv_pos_as_xyz
'x,y,z'
'-x,-y,-z'
'-y+1/4,x+3/4,z+1/4'
'y+1/4,-x+3/4,-z+1/4'
'-x+1/2,-y,z+1/2'
'x+1/2,y,-z+1/2'
'y+1/4,-x+1/4,z+3/4'
'-y+1/4,x+1/4,-z+3/4'
'x,-y,-z'
'-x,y,z'
'-y+1/4,-x+1/4,-z+3/4'
'y+1/4,x+1/4,z+3/4'
'-x+1/2,y,-z+1/2'
'x+1/2,-y,z+1/2'
'y+1/4,x+3/4,-z+1/4'
'-y+1/4,-x+3/4,z+1/4'
'x+1/2,y+1/2,z+1/2'
'-x+1/2,-y+1/2,-z+1/2'
'-y+3/4,x+1/4,z+3/4'
'y+3/4,-x+1/4,-z+3/4'
'-x,-y+1/2,z'
'x,y+1/2,-z'
'y+3/4,-x+3/4,z+1/4'
'-y+3/4,x+3/4,-z+1/4'
'x+1/2,-y+1/2,-z+1/2'
'-x+1/2,y+1/2,z+1/2'
'-y+3/4,-x+3/4,-z+1/4'
'y+3/4,x+3/4,z+1/4'
'-x,y+1/2,-z'
'x,-y+1/2,z'
'y+3/4,x+1/4,-z+3/4'
'-y+3/4,-x+1/4,z+3/4'
loop_
_atom_site_label
_atom_site_type_symbol
_atom_site_fract_x
_atom_site_fract_y
_atom_site_fract_z
_atom_site_occupancy
Na1 Na 0.000 0.000 0.000 1
Sr1 Sr 0.000 0.250 0.375 1
H1 H 0.000 0.070 0.686 1
# **Offset from the most stable computed form**: 0.0 meV per atom
# **Volume**: 419.3 Å³/cell

(4)
# PBE NaSrH, optimized geometry
data_NaSrH
_chemical_formula_sum 'Na1 Sr1 H1'
_symmetry_space_group_name_H-M 'P 3 m 1'
_symmetry_Int_Tables_number 156
_symmetry_space_group_name_Hall 'P 3 -2"'
_cell_length_a 4.0761
_cell_length_b 4.0761
_cell_length_c 6.2478
_cell_angle_alpha 90.00
_cell_angle_beta 90.00
_cell_angle_gamma 120.00
loop_
_atom_site_label
_atom_site_type_symbol
_atom_site_fract_x
_atom_site_fract_y
_atom_site_fract_z
_atom_site_occupancy
Na1 Na 0.0000 0.0000 0.0000 1
Sr1 Sr 0.6667 0.3333 0.4997 1
H1 H 0.3333 0.6667 0.6194 1
# **Offset from the most stable computed form**: 167.5 meV per atom
# **Volume**: 89.9 Å³/cell

(5)
# PBE Na2SrH, optimized geometry
data_Na2SrH
_chemical_formula_sum 'Na8 Sr4 H4'
_symmetry_space_group_name_H-M 'F m -3 m'
_symmetry_Int_Tables_number 225
_symmetry_space_group_name_Hall '-F 4 2 3'
_cell_length_a 8.133
_cell_length_b 8.133
_cell_length_c 8.133
_cell_angle_alpha 90.00
_cell_angle_beta 90.00
_cell_angle_gamma 90.00
loop_
_atom_site_label
_atom_site_type_symbol
_atom_site_fract_x
_atom_site_fract_y
_atom_site_fract_z
_atom_site_occupancy
Na1 Na 0.250 0.250 0.250 1
Sr1 Sr 0.000 0.000 0.000 1
H1 H 0.000 0.000 0.500 1
# **Offset from the most stable computed form**: 431.6 meV per atom
# **Volume**: 538.0 Å³/cell

(6)
# PBE NaSrH2, optimized geometry
data_NaSrH2
_chemical_formula_sum 'Na3 Sr3 H6'
_symmetry_space_group_name_H-M 'R 3 m'
_symmetry_Int_Tables_number 160
_symmetry_space_group_name_Hall 'R 3 -2"'
_cell_length_a 3.9428
_cell_length_b 3.9428
_cell_length_c 20.2453
_cell_angle_alpha 90.00
_cell_angle_beta 90.00
_cell_angle_gamma 120.00
loop_
_atom_site_label
_atom_site_type_symbol
_atom_site_fract_x
_atom_site_fract_y
_atom_site_fract_z
_atom_site_occupancy
Na1 Na 0.0000 0.0000 0.0000 1
Sr1 Sr 0.0000 0.0000 0.1952 1
H1 H 0.0000 0.0000 0.6001 1
H2 H 0.0000 0.0000 0.8745 1
# **Offset from the most stable computed form**: 75.8 meV per atom
# **Volume**: 272.6 Å³/cell

(7)
# PBE Na2SrH, optimized geometry
data_Na2SrH
_chemical_formula_sum 'Na8 Sr4 H4'
_symmetry_space_group_name_H-M 'I -4 2 d'
_symmetry_Int_Tables_number 122
_symmetry_space_group_name_Hall 'I -4 2bw'
_cell_length_a 7.278
_cell_length_b 7.278
_cell_length_c 10.304
_cell_angle_alpha 90.00
_cell_angle_beta 90.00
_cell_angle_gamma 90.00
loop_
_atom_site_label
_atom_site_type_symbol
_atom_site_fract_x
_atom_site_fract_y
_atom_site_fract_z
_atom_site_occupancy
Na1 Na 0.001 0.250 0.125 1
Sr1 Sr 0.000 0.000 0.500 1
H1 H 0.000 0.000 0.000 1
# **Offset from the most stable computed form**: 0.0 meV per atom
# **Volume**: 545.8 Å³/cell

(8)
# PBE NaSrH2, optimized geometry
data_NaSrH2
_chemical_formula_sum 'Na3 Sr3 H6'
_symmetry_space_group_name_H-M 'R -3 m'
_symmetry_Int_Tables_number 166
_symmetry_space_group_name_Hall '-R 3 2"'
_cell_length_a 3.9905
_cell_length_b 3.9905
_cell_length_c 19.6639
_cell_angle_alpha 90.00
_cell_angle_beta 90.00
_cell_angle_gamma 120.00
loop_
_atom_site_label
_atom_site_type_symbol
_atom_site_fract_x
_atom_site_fract_y
_atom_site_fract_z
_atom_site_occupancy
Na1 Na 0.0000 0.0000 0.0000 1
Sr1 Sr 0.0000 0.0000 0.5000 1
H1 H 0.0000 0.0000 0.1206 1
# **Offset from the most stable computed form**: 0.0 meV per atom
# **Volume**: 271.2 Å³/cell